The following is a DFT calculation (PBE-GGA) of an optimized crystal structure of EuInAu2.

Results
density of states at the Fermi level: 2.89 states/eV/atom
crystal system: tetragonal
space group: P4/mmm, No. 123
DFT formation energy: -11.9 kcal/mol of atoms

Cell lengths 3.956, 4.898, 4.898 Å; angles 90.00, 90.00, 90.00 degrees
Fractional positions:
1 Eu 0.500 0.500 0.500
2 Au 0.000 0.000 0.500
3 Au 0.000 0.500 0.000
4 In 0.500 0.000 0.000

The following is a DFT calculation (PBE-GGA) of an optimized crystal structure of EuIn3Au3.

Results
density of states at the Fermi level: 1.88 states/eV/atom
crystal system: orthorhombic
space group: Pmmn, No. 59
DFT formation energy: -10.8 kcal/mol of atoms

Cell lengths 4.585, 7.805, 9.328 Å; angles 90.00, 90.00, 90.00 degrees
Fractional positions:
1 Eu 0.000 0.500 0.279
2 Eu 0.500 0.000 0.721
3 In 0.500 0.500 0.634
4 In 0.000 0.298 0.884
5 In 0.000 0.702 0.884
6 In 0.500 0.798 0.116
7 In 0.000 0.000 0.366
8 In 0.500 0.202 0.116
9 Au 0.000 0.737 0.592
10 Au 0.500 0.500 0.948
11 Au 0.000 0.263 0.592
12 Au 0.500 0.763 0.408
13 Au 0.000 0.000 0.052
14 Au 0.500 0.237 0.408

The following is a DFT calculation (PBE-GGA) of an optimized crystal structure of EuIn2Au.

Results
density of states at the Fermi level: 2.42 states/eV/atom
crystal system: tetragonal
space group: P4/mmm, No. 123
DFT formation energy: -9.6 kcal/mol of atoms

Cell lengths 4.922, 4.527, 4.527 Å; angles 90.00, 90.00, 90.00 degrees
Fractional positions:
1 Eu 0.500 0.000 0.000
2 Au 0.500 0.500 0.500
3 In 0.000 0.000 0.500
4 In 0.000 0.500 0.000